YZrIn6 after structural relaxation. Source: Alexandria, functional PBE.

Computed properties:
ΔH_f (0 K) ... -0.302 eV/atom
D(E_F) ... 0.62 states/eV/atom

a b c (Å): 4.5730 4.5730 9.1636
angles (deg): 90.00 90.00 90.00
With the nearest neighbours (Å) after each atom.
Fractional coordinates of all 8 atoms:
In: 0.5000 0.0000 0.7567  8 In 3.19-3.28, 2 Zr 3.19, 2 Y 3.28
In: 0.0000 0.5000 0.7567  2 Zr 3.19, 8 In 3.19-3.28, 2 Y 3.28
In: 0.0000 0.5000 0.2433  2 Zr 3.19, 8 In 3.19-3.28, 2 Y 3.28
In: 0.5000 0.5000 0.0000  8 In 3.19, 4 Zr 3.23
In: 0.5000 0.5000 0.5000  4 Y 3.23, 8 In 3.28
In: 0.5000 0.0000 0.2433  8 In 3.19-3.28, 2 Zr 3.19, 2 Y 3.28
Zr: 0.0000 0.0000 0.0000  12 In 3.19-3.23
Y: 0.0000 0.0000 0.5000  12 In 3.23-3.28

CsZnNi2Cl8 after structural relaxation. Source: Alexandria, functional PBE.

Computed properties:
Uncorrected formation energy ... -0.841 eV per atom
D(E_F) ... 0.62 states/eV/atom

a b c (Å): 6.3634 6.3634 10.2170
angles (deg): 71.86 71.86 60.00
With the nearest neighbours (Å) after each atom.
Fractional coordinates of all 12 atoms:
Cl: 0.0444 0.3710 0.8456  1 Ni 2.22
Cl: 0.8140 0.8140 0.5580  1 Ni 2.18
Cl: 0.7391 0.0444 0.8456  1 Ni 2.22
Cl: 0.3710 0.7391 0.8456  1 Ni 2.22
Cl: 0.1860 0.1860 0.4420  1 Ni 2.18
Cl: 0.9556 0.6290 0.1544  1 Ni 2.22
Cl: 0.6290 0.2609 0.1544  1 Ni 2.22
Cl: 0.2609 0.9556 0.1544  1 Ni 2.22
Ni: 0.7377 0.7377 0.7868  4 Cl 2.18-2.22
Ni: 0.2623 0.2623 0.2132  4 Cl 2.18-2.22
Zn: 0.0000 0.0000 0.0000  6 Cl 2.49
Cs: 0.5000 0.5000 0.5000  12 Cl 3.72-3.97

ScAs2Se after structural relaxation. Source: Alexandria, functional PBE.

Computed properties:
Uncorrected formation energy ... -0.622 eV per atom
D(E_F) ... 0.30 states/eV/atom

a b c (Å): 7.4852 7.4852 7.4852
angles (deg): 30.92 30.92 30.92
With the nearest neighbours (Å) after each atom.
Fractional coordinates of all 4 atoms:
Se: 0.7729 0.7729 0.7729  3 Sc 2.66
As: 0.2543 0.2543 0.2543  3 As 2.54
As: 0.9710 0.9710 0.9710  3 As 2.54
Sc: 0.5019 0.5019 0.5019  3 Se 2.66, 3 As 2.94

CsHf3In after structural relaxation. Source: Alexandria, functional PBE.

Computed properties:
ΔH_f (0 K) ... 1.502 eV/atom
Relative energy among the computed polymorphs ... 0 meV/atom
D(E_F) ... 2.10 states/eV/atom

a b c (Å): 5.4866 5.4866 5.4866
angles (deg): 90.00 90.00 90.00
With the nearest neighbours (Å) after each atom.
Fractional coordinates of all 5 atoms:
Cs: 0.5000 0.5000 0.5000  12 Hf 3.88
Hf: 0.0000 0.0000 0.5000  2 In 2.74
Hf: 0.5000 0.0000 0.0000  2 In 2.74
Hf: 0.0000 0.5000 0.0000  2 In 2.74
In: 0.0000 0.0000 0.0000  6 Hf 2.74

Question: What is the formula in the fourth record?
Answer: CsHf3In